[1]
Entry from the Alexandria database: a geometry-optimized SrEu4Mg structure (PBE).

Output
Total DFT energy (no corrections): -0.2651 hartree per atom
Formation enthalpy at 0 K: 0.1825 eV per atom
Space group: F-43m
Spin magnetization: 5.06 μB/atom

Lattice parameters (Å, degrees): 7.1195 7.1195 7.1195 60.00 60.00 60.00
Closest atoms and distances in Å follow each position.
Fractional positions:
Eu 0.6258 0.6258 0.1226  6 Eu 3.54-3.58
Eu 0.6258 0.1226 0.6258  6 Eu 3.54-3.58
Eu 0.6258 0.6258 0.6258  6 Eu 3.54-3.58
Eu 0.1226 0.6258 0.6258  6 Eu 3.54-3.58
Sr 0.2500 0.2500 0.2500  12 Eu 4.18, 4 Mg 4.36
Mg 0.0000 0.0000 0.0000  12 Eu 4.17, 4 Sr 4.36



[2]
Entry from the Alexandria database: a geometry-optimized LiNbAsO5 structure (PBE).

Output
Total DFT energy (no corrections): -0.2581 hartree per atom
Space group: C2/c
Spin magnetization: 0.00 μB/atom

Lattice parameters (Å, degrees): 5.7215 5.7215 7.5363 103.23 103.23 112.58
Closest atoms and distances in Å follow each position.
Fractional positions:
Li 0.2825 0.7175 0.2500  3 O 2.00-2.05
Li 0.7175 0.2825 0.7500  3 O 2.00-2.05
Nb 0.0000 0.0000 0.5000  6 O 2.01-2.07
Nb 0.0000 0.0000 0.0000  6 O 2.01-2.07
As 0.7051 0.2949 0.2500  4 O 1.78-1.83
As 0.2949 0.7051 0.7500  4 O 1.78-1.83
O 0.0723 0.9277 0.2500  1 Li 2.00, 2 Nb 2.01
O 0.9277 0.0723 0.7500  1 Li 2.00, 2 Nb 2.01
O 0.9655 0.3354 0.1392  1 As 1.83, 1 Li 2.05
O 0.0345 0.6646 0.8608  1 As 1.83, 1 Li 2.05
O 0.6646 0.0345 0.3608  1 As 1.83, 1 Li 2.05
O 0.3354 0.9655 0.6392  1 As 1.83, 1 Li 2.05
O 0.7788 0.5956 0.4354  1 As 1.78
O 0.2212 0.4044 0.5646  1 As 1.78
O 0.4044 0.2212 0.0646  1 As 1.78
O 0.5956 0.7788 0.9354  1 As 1.78



[3]
Entry from the Alexandria database: a geometry-optimized Tl2CuNiBr6 structure (PBE).

Output
Total DFT energy (no corrections): -0.1087 hartree per atom
Space group: P2_1/c
Spin magnetization: 0.10 μB/atom

Lattice parameters (Å, degrees): 6.9879 6.9895 11.4875 90.00 89.78 90.00
Closest atoms and distances in Å follow each position.
Fractional positions:
Tl 0.0026 0.9931 0.2499  8 Br 3.46-3.55
Tl 0.5026 0.5069 0.7499  8 Br 3.46-3.55
Tl 0.9974 0.0069 0.7501  8 Br 3.46-3.55
Tl 0.4974 0.4931 0.2501  8 Br 3.46-3.55
Cu 0.5000 0.0000 0.0000  4 Br 2.46
Cu 0.0000 0.5000 0.5000  4 Br 2.46
Ni 0.5000 0.0000 0.5000  6 Br 2.44-2.59
Ni 0.0000 0.5000 0.0000  6 Br 2.44-2.59
Br 0.3088 0.7045 0.0031  1 Cu 2.46, 1 Ni 2.59
Br 0.8088 0.7955 0.5031  1 Cu 2.46, 1 Ni 2.59
Br 0.6912 0.2955 0.9969  1 Cu 2.46, 1 Ni 2.59
Br 0.1912 0.2045 0.4969  1 Cu 2.46, 1 Ni 2.59
Br 0.2955 0.6911 0.4990  1 Cu 2.46, 1 Ni 2.59
Br 0.7955 0.8089 0.9990  1 Cu 2.46, 1 Ni 2.59
Br 0.7045 0.3089 0.5010  1 Cu 2.46, 1 Ni 2.59
Br 0.2045 0.1911 0.0010  1 Cu 2.46, 1 Ni 2.59
Br 0.9948 0.4972 0.2127  1 Ni 2.44
Br 0.4948 0.0028 0.7127  1 Ni 2.44
Br 0.0052 0.5028 0.7873  1 Ni 2.44
Br 0.5052 0.9972 0.2873  1 Ni 2.44